[1]
Entry from Alexandria via LeMat-Bulk: a geometry-optimized Mn2Cr structure (PBE-GGA).

a b c (Å): 2.5187 3.7681 15.1082
angles (deg): 90.00 90.00 90.00
Atoms (fractional coordinates):
Mn 0.5000 0.7500 0.5346
Cr 0.5000 0.7500 0.1262
Mn 0.0000 0.2500 0.1880
Mn 0.5000 0.7500 0.6880
Cr 0.5000 0.2500 0.8738
Mn 0.0000 0.2500 0.0346
Mn 0.0000 0.7500 0.8120
Mn 0.5000 0.2500 0.4654
Mn 0.5000 0.2500 0.3120
Cr 0.0000 0.7500 0.3738
Mn 0.0000 0.7500 0.9654
Cr 0.0000 0.2500 0.6262

Computed properties:
Calculated volume (Å³ per atom): 11.949
Calculated total energy (eV per atom): -8.876
DFT formation energy (eV per formula unit): 1.335
Magnetization (μB per cell): 0.0

***

[2]
Entry from Alexandria via LeMat-Bulk: a geometry-optimized MnCr3 structure (PBE-GGA).

a b c (Å): 4.7543 4.7543 2.3879
angles (deg): 90.00 90.00 119.77
Site moments in Bohr magnetons follow the coordinates.
Atoms (fractional coordinates):
Cr 0.0000 0.5000 0.5000  0.09
Cr 0.0000 0.0000 0.0000  -0.26
Mn 0.5000 0.5000 0.0000  1.43
Cr 0.5000 0.0000 0.5000  0.09

Computed properties:
Calculated volume (Å³ per atom): 11.713
Calculated total energy (eV per atom): -9.259
DFT formation energy (eV per formula unit): 1.004
Magnetization (μB per cell): 1.4

***

[3]
Entry from Alexandria via LeMat-Bulk: a geometry-optimized Mn3Cr5 structure (PBE-GGA).

a b c (Å): 4.4235 7.6412 6.4116
angles (deg): 81.72 69.82 65.32
Atoms (fractional coordinates):
Mn 0.7500 0.0039 0.9119
Cr 0.8508 0.8181 0.3011
Cr 0.7527 0.4922 0.5000
Cr 0.4732 0.3156 0.8433
Mn 0.1866 0.4969 0.1443
Cr 0.2605 0.5064 0.5000
Mn 0.2383 0.8579 0.5000
Mn 0.8308 0.4969 0.8557
Cr 0.1716 0.1668 0.7024
Cr 0.5346 0.6988 0.1466
Mn 0.1619 0.0039 0.0881
Cr 0.8165 0.3156 0.1567
Cr 0.1813 0.6988 0.8534
Mn 0.7720 0.1364 0.5000
Cr 0.6519 0.8181 0.6989
Cr 0.3740 0.1668 0.2976

Computed properties:
Calculated volume (Å³ per atom): 11.552
Calculated total energy (eV per atom): -9.268
DFT formation energy (eV per formula unit): 1.481
ΔE to the lowest computed polymorph (meV per atom): 20
Magnetization (μB per cell): 0.0